No. 1
# Be2Ni4GeP

An optimized crystal structure of Be2Ni4GeP (PBE, Alexandria via LeMat-Bulk).

Cell lengths 6.7703, 6.7703, 6.7703 Å; angles 33.25, 33.25, 33.25 degrees
Positions (direct):
Be 0.2470 0.2470 0.2470
Be 0.7530 0.7530 0.7530
Ni 0.1181 0.1181 0.1181
Ni 0.3706 0.3706 0.3706
Ni 0.6294 0.6294 0.6294
Ni 0.8819 0.8819 0.8819
Ge 0.5000 0.5000 0.5000
P 0.0000 0.0000 0.0000

## Properties
Total moment, Bohr magnetons per cell: 0.0
Theoretical density, g cm⁻³: 7.13
ΔH_f (0 K), eV/f.u.: -2.60


No. 2
# Pa2BeNi6Ge

An optimized crystal structure of Pa2BeNi6Ge (PBE, Alexandria via LeMat-Bulk).

Cell lengths 5.9782, 5.9782, 5.9782 Å; angles 60.00, 60.00, 60.00 degrees
Positions (direct):
Pa 0.2500 0.2500 0.2500
Pa 0.7500 0.7500 0.7500
Be 0.0000 0.0000 0.0000
Ni 0.2332 0.2332 0.7668
Ni 0.2332 0.7668 0.2332
Ni 0.2332 0.7668 0.7668
Ni 0.7668 0.2332 0.2332
Ni 0.7668 0.2332 0.7668
Ni 0.7668 0.7668 0.2332
Ge 0.5000 0.5000 0.5000

## Properties
Total moment, Bohr magnetons per cell: 0.0
Theoretical density, g cm⁻³: 9.85
ΔH_f (0 K), eV/f.u.: -0.81


No. 3
# Pa2Be3NiGe4

An optimized crystal structure of Pa2Be3NiGe4 (PBE, Alexandria via LeMat-Bulk).

Cell lengths 4.1487, 4.1487, 9.0456 Å; angles 90.00, 90.00, 90.00 degrees
Positions (direct):
Pa 0.0000 0.5000 0.2446
Pa 0.5000 0.0000 0.7554
Be 0.0000 0.0000 0.0000
Be 0.0000 0.5000 0.6202
Be 0.5000 0.0000 0.3798
Ni 0.5000 0.5000 0.0000
Ge 0.0000 0.0000 0.5000
Ge 0.0000 0.5000 0.8664
Ge 0.5000 0.0000 0.1336
Ge 0.5000 0.5000 0.5000

## Properties
Total moment, Bohr magnetons per cell: 0.0
Theoretical density, g cm⁻³: 8.94
ΔH_f (0 K), eV/f.u.: -3.20


No. 4
# BeNiGePd

An optimized crystal structure of BeNiGePd (PBE, Alexandria via LeMat-Bulk).

Cell lengths 4.1128, 4.1128, 4.1128 Å; angles 60.00, 60.00, 60.00 degrees
Positions (direct):
Be 0.0000 0.0000 0.0000
Ni 0.7500 0.7500 0.7500
Ge 0.5000 0.5000 0.5000
Pd 0.2500 0.2500 0.2500

## Properties
Total moment, Bohr magnetons per cell: 0.0
Theoretical density, g cm⁻³: 8.33
ΔH_f (0 K), eV/f.u.: -1.10


No. 5
# Pm2BeNi3Ge4

An optimized crystal structure of Pm2BeNi3Ge4 (PBE, Alexandria via LeMat-Bulk).

Cell lengths 4.1205, 4.1205, 9.7437 Å; angles 90.00, 90.00, 90.00 degrees
Positions (direct):
Pm 0.0000 0.5000 0.2481
Pm 0.5000 0.0000 0.7519
Be 0.5000 0.5000 0.0000
Ni 0.0000 0.0000 0.0000
Ni 0.0000 0.5000 0.6246
Ni 0.5000 0.0000 0.3754
Ge 0.0000 0.0000 0.5000
Ge 0.0000 0.5000 0.8707
Ge 0.5000 0.0000 0.1293
Ge 0.5000 0.5000 0.5000

## Properties
Total moment, Bohr magnetons per cell: 0.0
Theoretical density, g cm⁻³: 7.69
ΔH_f (0 K), eV/f.u.: -6.42


No. 6
# Pm2BeNi4Ge3

An optimized crystal structure of Pm2BeNi4Ge3 (PBE, Alexandria via LeMat-Bulk).

Cell lengths 4.0772, 4.0772, 9.6596 Å; angles 90.00, 90.00, 90.00 degrees
Positions (direct):
Pm 0.0000 0.5000 0.2443
Pm 0.5000 0.0000 0.7557
Be 0.5000 0.5000 0.0000
Ni 0.0000 0.0000 0.5000
Ni 0.0000 0.5000 0.8805
Ni 0.5000 0.0000 0.1195
Ni 0.5000 0.5000 0.5000
Ge 0.0000 0.0000 0.0000
Ge 0.0000 0.5000 0.6330
Ge 0.5000 0.0000 0.3670

## Properties
Total moment, Bohr magnetons per cell: 0.0
Theoretical density, g cm⁻³: 7.77
ΔH_f (0 K), eV/f.u.: -6.15


No. 7
# Pm2Be3NiGe4

An optimized crystal structure of Pm2Be3NiGe4 (PBE, Alexandria via LeMat-Bulk).

Cell lengths 4.0674, 4.0674, 9.8263 Å; angles 90.00, 90.00, 90.00 degrees
Positions (direct):
Pm 0.0000 0.5000 0.2442
Pm 0.5000 0.0000 0.7558
Be 0.0000 0.0000 0.0000
Be 0.0000 0.5000 0.6338
Be 0.5000 0.0000 0.3662
Ni 0.5000 0.5000 0.0000
Ge 0.0000 0.0000 0.5000
Ge 0.0000 0.5000 0.8693
Ge 0.5000 0.0000 0.1307
Ge 0.5000 0.5000 0.5000

## Properties
Total moment, Bohr magnetons per cell: 0.0
Theoretical density, g cm⁻³: 6.81
ΔH_f (0 K), eV/f.u.: -4.67


No. 8
# PmBeNiGe2

An optimized crystal structure of PmBeNiGe2 (PBE, Alexandria via LeMat-Bulk).

Cell lengths 5.8232, 5.8232, 5.8232 Å; angles 139.67, 139.67, 58.36 degrees
Positions (direct):
Pm 0.0000 0.0000 0.0000
Be 0.7500 0.2500 0.5000
Ni 0.2500 0.7500 0.5000
Ge 0.3728 0.3728 0.0000
Ge 0.6272 0.6272 0.0000

## Properties
Total moment, Bohr magnetons per cell: 0.0
Theoretical density, g cm⁻³: 7.25
ΔH_f (0 K), eV/f.u.: -2.96


No. 9
# Pm2BeNi6Ge

An optimized crystal structure of Pm2BeNi6Ge (PBE, Alexandria via LeMat-Bulk).

Cell lengths 5.6345, 5.6345, 6.4684 Å; angles 115.55, 115.55, 60.28 degrees
Positions (direct):
Pm 0.2228 0.2228 0.1685
Pm 0.7772 0.7772 0.8315
Be 0.0000 0.0000 0.5000
Ni 0.2412 0.2412 0.6621
Ni 0.2413 0.6777 0.6605
Ni 0.3223 0.7587 0.3395
Ni 0.6777 0.2413 0.6605
Ni 0.7587 0.3223 0.3395
Ni 0.7588 0.7588 0.3379
Ge 0.5000 0.5000 0.0000

## Properties
Total moment, Bohr magnetons per cell: 0.0
Theoretical density, g cm⁻³: 7.78
ΔH_f (0 K), eV/f.u.: -3.17


No. 10
# Pr2Be3NiGe4

An optimized crystal structure of Pr2Be3NiGe4 (PBE, Alexandria via LeMat-Bulk).

Cell lengths 4.1052, 4.1052, 9.8804 Å; angles 90.00, 90.00, 90.00 degrees
Positions (direct):
Pr 0.0000 0.5000 0.2442
Pr 0.5000 0.0000 0.7558
Be 0.0000 0.0000 0.0000
Be 0.0000 0.5000 0.6331
Be 0.5000 0.0000 0.3669
Ni 0.5000 0.5000 0.0000
Ge 0.0000 0.0000 0.5000
Ge 0.0000 0.5000 0.8710
Ge 0.5000 0.0000 0.1290
Ge 0.5000 0.5000 0.5000

## Properties
Total moment, Bohr magnetons per cell: 0.0
Theoretical density, g cm⁻³: 6.56
ΔH_f (0 K), eV/f.u.: -4.58


No. 11
# PrBeNiGe2

An optimized crystal structure of PrBeNiGe2 (PBE, Alexandria via LeMat-Bulk).

Cell lengths 5.8500, 5.8500, 5.8500 Å; angles 139.40, 139.40, 58.76 degrees
Positions (direct):
Pr 0.0000 0.0000 0.0000
Be 0.7500 0.2500 0.5000
Ni 0.2500 0.7500 0.5000
Ge 0.3710 0.3710 0.0000
Ge 0.6290 0.6290 0.0000

## Properties
Total moment, Bohr magnetons per cell: 0.0
Theoretical density, g cm⁻³: 7.00
ΔH_f (0 K), eV/f.u.: -2.90


No. 12
# Pr2BeNi3Ge4

An optimized crystal structure of Pr2BeNi3Ge4 (PBE, Alexandria via LeMat-Bulk).

Cell lengths 4.1599, 4.1599, 9.7755 Å; angles 90.00, 90.00, 90.00 degrees
Positions (direct):
Pr 0.0000 0.5000 0.2480
Pr 0.5000 0.0000 0.7520
Be 0.5000 0.5000 0.0000
Ni 0.0000 0.0000 0.0000
Ni 0.0000 0.5000 0.6232
Ni 0.5000 0.0000 0.3768
Ge 0.0000 0.0000 0.5000
Ge 0.0000 0.5000 0.8718
Ge 0.5000 0.0000 0.1282
Ge 0.5000 0.5000 0.5000

## Properties
Total moment, Bohr magnetons per cell: 0.0
Theoretical density, g cm⁻³: 7.44
ΔH_f (0 K), eV/f.u.: -6.30